The following is a SCAN calculation of a crystal of K3Nb3Si2O13 relaxed with PBEsol, from Alexandria.

Unit cell a=7.8257 b=9.1687 c=9.1687 alpha=120.00 beta=90.00 gamma=90.00
Closest atoms and distances in Å follow each position.
Fractional coordinates of all 42 atoms:
K  0.5000  0.5979  0.0000  12 O 2.94-3.20
K  0.5000  0.0000  0.5979  12 O 2.94-3.20
K  0.0000  0.3931  0.3931  4 O 2.68-2.82
K  0.0000  0.6069  0.0000  4 O 2.68-2.82
K  0.5000  0.4021  0.4021  12 O 2.94-3.20
K  0.0000  0.0000  0.6069  4 O 2.68-2.82
Nb  0.7504  0.7621  0.7621  6 O 1.96-2.05
Nb  0.2496  0.0000  0.2379  6 O 1.96-2.05
Nb  0.7504  0.0000  0.2379  6 O 1.96-2.05
Nb  0.7504  0.2379  0.0000  6 O 1.96-2.05
Nb  0.2496  0.7621  0.7621  6 O 1.96-2.05
Nb  0.2496  0.2379  0.0000  6 O 1.96-2.05
Si  0.7889  0.3333  0.6667  4 O 1.62-1.65
Si  0.2111  0.3333  0.6667  4 O 1.62-1.65
Si  0.2111  0.6667  0.3333  4 O 1.62-1.65
Si  0.7889  0.6667  0.3333  4 O 1.62-1.65
O  0.5000  0.0000  0.2266  2 Nb 1.96
O  0.5000  0.2266  0.0000  2 Nb 1.96
O  0.5000  0.7734  0.7734  2 Nb 1.96
O  0.7254  0.4860  0.1821  1 Si 1.62
O  0.7254  0.6960  0.5140  1 Si 1.62
O  0.7254  0.8179  0.3040  1 Si 1.62
O  0.2746  0.5140  0.6960  1 Si 1.62
O  0.2746  0.8179  0.3040  1 Si 1.62
O  0.2746  0.4860  0.1821  1 Si 1.62
O  0.2746  0.6960  0.5140  1 Si 1.62
O  0.7254  0.3040  0.8179  1 Si 1.62
O  0.7254  0.1821  0.4860  1 Si 1.62
O  0.2746  0.1821  0.4860  1 Si 1.62
O  0.2746  0.3040  0.8179  1 Si 1.62
O  0.7254  0.5140  0.6960  1 Si 1.62
O  0.2288  0.1750  0.1750  2 Nb 1.96
O  0.0000  0.6667  0.3333  2 Si 1.65
O  0.0000  0.3333  0.6667  2 Si 1.65
O  0.0000  0.7225  0.7225  2 Nb 1.99
O  0.0000  0.2775  0.0000  2 Nb 1.99
O  0.0000  0.0000  0.2775  2 Nb 1.99
O  0.7712  0.1750  0.1750  2 Nb 1.96
O  0.2288  0.8250  0.0000  2 Nb 1.96
O  0.2288  0.0000  0.8250  2 Nb 1.96
O  0.7712  0.0000  0.8250  2 Nb 1.96
O  0.7712  0.8250  0.0000  2 Nb 1.96

Final energy   -13.523 eV/atom
E above lowest polymorph   6.8 meV/atom
Formation energy (no corrections)   -58.57 eV/f.u.

The following is a SCAN calculation of a crystal of K3Nb3Si2O13 relaxed with PBEsol, from Alexandria.

Unit cell a=7.8788 b=9.1651 c=9.1651 alpha=120.00 beta=90.00 gamma=90.00
Closest atoms and distances in Å follow each position.
Fractional coordinates of all 42 atoms:
K  0.7500  0.6169  0.5855  8 O 2.84-3.17
K  0.2500  0.3831  0.9685  8 O 2.84-3.17
K  0.7500  0.9685  0.3831  8 O 2.84-3.17
K  0.7500  0.4145  0.0315  8 O 2.84-3.17
K  0.2500  0.5855  0.6169  8 O 2.84-3.17
K  0.2500  0.0315  0.4145  8 O 2.84-3.17
Nb  0.5000  0.2387  0.2387  6 O 1.96-2.05
Nb  0.0000  0.2387  0.2387  6 O 1.96-2.05
Nb  0.0000  0.7613  0.0000  6 O 1.96-2.05
Nb  0.5000  0.7613  0.0000  6 O 1.96-2.05
Nb  0.5000  0.0000  0.7613  6 O 1.96-2.05
Nb  0.0000  0.0000  0.7613  6 O 1.96-2.05
Si  0.0429  0.6667  0.3333  4 O 1.62-1.63
Si  0.9571  0.3333  0.6667  4 O 1.62-1.63
Si  0.5429  0.3333  0.6667  4 O 1.62-1.63
Si  0.4571  0.6667  0.3333  4 O 1.62-1.63
O  0.0230  0.5122  0.8192  1 Si 1.62
O  0.7500  0.0151  0.7535  2 Nb 1.98
O  0.2500  0.9849  0.7383  2 Nb 1.98
O  0.2500  0.2617  0.2465  2 Nb 1.98
O  0.7500  0.2465  0.2617  2 Nb 1.98
O  0.5230  0.4878  0.3070  1 Si 1.62
O  0.9770  0.8192  0.5122  1 Si 1.62
O  0.2500  0.7535  0.0151  2 Nb 1.98
O  0.0230  0.1808  0.6930  1 Si 1.62
O  0.4770  0.3070  0.4878  1 Si 1.62
O  0.5000  0.1756  0.0000  2 Nb 1.96
O  0.0000  0.1756  0.0000  2 Nb 1.96
O  0.0230  0.3070  0.4878  1 Si 1.62
O  0.7500  0.7383  0.9849  2 Nb 1.98
O  0.4770  0.1808  0.6930  1 Si 1.62
O  0.9770  0.6930  0.1808  1 Si 1.62
O  0.9770  0.4878  0.3070  1 Si 1.62
O  0.5230  0.6930  0.1808  1 Si 1.62
O  0.5000  0.8244  0.8244  2 Nb 1.96
O  0.5230  0.8192  0.5122  1 Si 1.62
O  0.7500  0.3333  0.6667  2 Si 1.63
O  0.5000  0.0000  0.1756  2 Nb 1.96
O  0.4770  0.5122  0.8192  1 Si 1.62
O  0.0000  0.0000  0.1756  2 Nb 1.96
O  0.0000  0.8244  0.8244  2 Nb 1.96
O  0.2500  0.6667  0.3333  2 Si 1.63

Final energy   -13.530 eV/atom
E above lowest polymorph   0.0 meV/atom
Formation energy (no corrections)   -58.71 eV/f.u.

The following is a SCAN calculation of a crystal of K4Nb2Si8O23 relaxed with PBEsol, from Alexandria.

Unit cell a=6.7619 b=7.8878 c=11.0030 alpha=76.16 beta=89.90 gamma=72.30
Closest atoms and distances in Å follow each position.
Fractional coordinates of all 37 atoms:
K  0.7218  0.2541  0.5266  5 O 2.70-2.86
K  0.2782  0.7459  0.4734  5 O 2.70-2.86
K  0.6691  0.3243  0.8520  5 O 2.72-3.02
K  0.3309  0.6757  0.1480  5 O 2.72-3.02
Nb  0.2132  0.2845  0.6999  1 O 1.80
Nb  0.7868  0.7155  0.3001  1 O 1.80
Si  0.0168  0.9099  0.7812  4 O 1.59-1.64
Si  0.9832  0.0901  0.2188  4 O 1.59-1.64
Si  0.8249  0.7042  0.6197  4 O 1.61-1.66
Si  0.1751  0.2958  0.3803  4 O 1.61-1.66
Si  0.4761  0.8249  0.7684  4 O 1.60-1.65
Si  0.5239  0.1751  0.2316  4 O 1.60-1.65
Si  0.8211  0.6955  0.9854  4 O 1.60-1.64
Si  0.1789  0.3045  0.0146  4 O 1.60-1.64
O  0.6281  0.6971  0.8944  2 Si 1.64
O  0.3719  0.3029  0.1056  2 Si 1.64
O  0.5763  0.7447  0.6490  2 Si 1.65-1.66
O  0.4237  0.2553  0.3510  2 Si 1.65-1.66
O  0.2594  0.7763  0.7927  2 Si 1.63-1.64
O  0.7406  0.2237  0.2073  2 Si 1.63-1.64
O  0.4441  0.0406  0.7411  1 Si 1.60
O  0.5559  0.9594  0.2589  1 Si 1.60
O  0.9481  0.4933  0.6915  1 Si 1.62
O  0.0519  0.5067  0.3085  1 Si 1.62
O  0.9929  0.1236  0.7476  1 Si 1.59
O  0.0071  0.8764  0.2524  1 Si 1.59
O  0.3874  0.4125  0.6419  1 Nb 1.80
O  0.6126  0.5875  0.3581  1 Nb 1.80
O  0.9188  0.8563  0.9166  2 Si 1.63-1.64
O  0.0812  0.1437  0.0834  2 Si 1.63-1.64
O  0.2621  0.2778  0.8824  1 Si 1.60
O  0.7379  0.7222  0.1176  1 Si 1.60
O  0.0000  0.5000  0.0000  2 Si 1.62
O  0.8996  0.8558  0.6721  2 Si 1.64-1.65
O  0.1004  0.1442  0.3279  2 Si 1.64-1.65
O  0.1449  0.2555  0.5284  1 Si 1.61
O  0.8551  0.7445  0.4716  1 Si 1.61

Final energy   -11.626 eV/atom
Formation energy (no corrections)   -107.13 eV/f.u.

The following is a SCAN calculation of a crystal of K2SmNb5O15 relaxed with PBEsol, from Alexandria.

Unit cell a=3.9269 b=12.6470 c=12.6470 alpha=90.00 beta=90.00 gamma=90.00
Closest atoms and distances in Å follow each position.
Fractional coordinates of all 46 atoms:
K  0.5000  0.6700  0.1700  7 O 2.81-3.04
K  0.5000  0.3300  0.8300  7 O 2.81-3.04
K  0.5000  0.1700  0.3300  7 O 2.81-3.04
K  0.5000  0.8300  0.6700  7 O 2.81-3.04
Sm  0.5000  0.0000  0.0000  12 O 2.56-2.68
Sm  0.5000  0.5000  0.5000  12 O 2.56-2.68
Nb  0.0000  0.5000  0.0000  6 O 1.96-2.00
Nb  0.0000  0.0000  0.5000  6 O 1.96-2.00
Nb  0.0000  0.2121  0.0769  6 O 1.92-2.06
Nb  0.0000  0.7879  0.9231  6 O 1.92-2.06
Nb  0.0000  0.0769  0.7879  6 O 1.92-2.06
Nb  0.0000  0.7121  0.4231  6 O 1.92-2.06
Nb  0.0000  0.9231  0.2121  6 O 1.92-2.06
Nb  0.0000  0.2879  0.5769  6 O 1.92-2.06
Nb  0.0000  0.5769  0.7121  6 O 1.92-2.06
Nb  0.0000  0.4231  0.2879  6 O 1.92-2.06
O  0.5000  0.1867  0.0791  2 Nb 1.99
O  0.5000  0.8133  0.9209  2 Nb 1.99
O  0.5000  0.0791  0.8133  2 Nb 1.99
O  0.5000  0.6867  0.4209  2 Nb 1.99
O  0.5000  0.9209  0.1867  2 Nb 1.99
O  0.5000  0.3133  0.5791  2 Nb 1.99
O  0.5000  0.5791  0.6867  2 Nb 1.99
O  0.5000  0.4209  0.3133  2 Nb 1.99
O  0.0000  0.2176  0.7176  2 Nb 1.99
O  0.0000  0.7824  0.2824  2 Nb 1.99
O  0.0000  0.7176  0.7824  2 Nb 1.99
O  0.0000  0.2824  0.2176  2 Nb 1.99
O  0.5000  0.5000  0.0000  2 Nb 1.96
O  0.5000  0.0000  0.5000  2 Nb 1.96
O  0.0000  0.0588  0.1312  2 Nb 2.00-2.06
O  0.0000  0.9412  0.8688  2 Nb 2.00-2.06
O  0.0000  0.1312  0.9412  2 Nb 2.00-2.06
O  0.0000  0.5588  0.3688  2 Nb 2.00-2.06
O  0.0000  0.8688  0.0588  2 Nb 2.00-2.06
O  0.0000  0.4412  0.6312  2 Nb 2.00-2.06
O  0.0000  0.6312  0.5588  2 Nb 2.00-2.06
O  0.0000  0.3688  0.4412  2 Nb 2.00-2.06
O  0.0000  0.3420  0.9987  2 Nb 1.92-2.00
O  0.0000  0.6580  0.0013  2 Nb 1.92-2.00
O  0.0000  0.9987  0.6580  2 Nb 1.92-2.00
O  0.0000  0.8420  0.5013  2 Nb 1.92-2.00
O  0.0000  0.0013  0.3420  2 Nb 1.92-2.00
O  0.0000  0.1580  0.4987  2 Nb 1.92-2.00
O  0.0000  0.4987  0.8420  2 Nb 1.92-2.00
O  0.0000  0.5013  0.1580  2 Nb 1.92-2.00

Final energy   -16.777 eV/atom
Formation energy (no corrections)   -65.64 eV/f.u.

The following is a SCAN calculation of a crystal of KSr2Nb5O15 relaxed with PBEsol, from Alexandria.

Unit cell a=4.0074 b=12.5560 c=12.5560 alpha=90.17 beta=90.00 gamma=90.00
Closest atoms and distances in Å follow each position.
Fractional coordinates of all 46 atoms:
K  0.0235  0.8311  0.1689  7 O 2.78-3.02
K  0.0235  0.1689  0.8311  7 O 2.78-3.02
Sr  0.0218  0.0000  0.5000  12 O 2.63-2.85
Sr  0.0218  0.5000  0.0000  12 O 2.63-2.85
Sr  0.0395  0.3311  0.3311  4 O 2.56-2.81
Sr  0.0395  0.6689  0.6689  4 O 2.56-2.81
Nb  0.5279  0.9211  0.7117  5 O 1.89-2.04
Nb  0.5279  0.0789  0.2883  5 O 1.89-2.04
Nb  0.5287  0.4220  0.7902  5 O 1.88-2.01
Nb  0.5287  0.5780  0.2098  5 O 1.88-2.01
Nb  0.5287  0.2098  0.5780  5 O 1.88-2.01
Nb  0.5287  0.7902  0.4220  5 O 1.88-2.01
Nb  0.5279  0.2883  0.0789  5 O 1.89-2.04
Nb  0.5279  0.7117  0.9211  5 O 1.89-2.04
Nb  0.5433  0.0000  0.0000  5 O 1.84-1.99
Nb  0.5342  0.5000  0.5000  5 O 1.86-2.00
O  0.4912  0.7158  0.2842  2 Nb 1.97
O  0.4912  0.2842  0.7158  2 Nb 1.97
O  0.4980  0.2308  0.2308  2 Nb 2.04
O  0.4980  0.7692  0.7692  2 Nb 2.04
O  0.4855  0.6582  0.5099  2 Nb 2.00
O  0.4855  0.3418  0.4901  2 Nb 2.00
O  0.4904  0.1575  0.0003  2 Nb 1.92-1.99
O  0.4904  0.8425  0.9997  2 Nb 1.92-1.99
O  0.4904  0.9997  0.8425  2 Nb 1.92-1.99
O  0.4904  0.0003  0.1575  2 Nb 1.92-1.99
O  0.4855  0.4901  0.3418  2 Nb 2.00
O  0.4855  0.5099  0.6582  2 Nb 2.00
O  0.9983  0.9116  0.6999  1 Nb 1.89
O  0.9983  0.0884  0.3001  1 Nb 1.89
O  0.9971  0.4249  0.7990  1 Nb 1.88
O  0.9971  0.5751  0.2010  1 Nb 1.88
O  0.9971  0.2010  0.5751  1 Nb 1.88
O  0.9971  0.7990  0.4249  1 Nb 1.88
O  0.9983  0.3001  0.0884  1 Nb 1.89
O  0.9983  0.6999  0.9116  1 Nb 1.89
O  0.4863  0.8655  0.5625  2 Nb 2.01
O  0.4863  0.1345  0.4375  2 Nb 2.01
O  0.4928  0.3617  0.9366  2 Nb 1.99-2.02
O  0.4928  0.6383  0.0634  2 Nb 1.99-2.02
O  0.4928  0.0634  0.6383  2 Nb 1.99-2.02
O  0.4928  0.9366  0.3617  2 Nb 1.99-2.02
O  0.4863  0.4375  0.1345  2 Nb 2.01
O  0.4863  0.5625  0.8655  2 Nb 2.01
O  0.0021  0.0000  0.0000  1 Nb 1.84
O  0.9985  0.5000  0.5000  1 Nb 1.86

Final energy   -16.468 eV/atom
Formation energy (no corrections)   -66.76 eV/f.u.

The following is a SCAN calculation of a crystal of K2TaNbO6 relaxed with PBEsol, from Alexandria.

Unit cell a=4.0039 b=4.0039 c=8.0094 alpha=90.00 beta=90.00 gamma=90.00
Closest atoms and distances in Å follow each position.
Fractional coordinates of all 10 atoms:
K  0.5000  0.5000  0.2501  12 O 2.83
K  0.5000  0.5000  0.7499  12 O 2.83
Ta  0.0000  0.0000  0.0000  6 O 1.99-2.00
Nb  0.0000  0.0000  0.5000  6 O 2.00-2.01
O  0.0000  0.0000  0.2486  1 Ta 1.99, 1 Nb 2.01
O  0.0000  0.0000  0.7514  1 Ta 1.99, 1 Nb 2.01
O  0.0000  0.5000  0.0000  2 Ta 2.00
O  0.5000  0.0000  0.0000  2 Ta 2.00
O  0.0000  0.5000  0.5000  2 Nb 2.00
O  0.5000  0.0000  0.5000  2 Nb 2.00

Final energy   -18.160 eV/atom
Formation energy (no corrections)   -27.84 eV/f.u.